Record 1
The following is a DFT calculation (PBE) of a relaxed LuPuInRu crystal.

Lattice parameters (Å, degrees): 7.092 7.092 7.092 90.00 90.00 90.00
Space group F-43m (No. 216)
Unique sites:
Lu (0.000, 0.000, 0.000)
Pu (0.000, 0.000, 0.500)
In (0.250, 0.250, 0.750)
Ru (0.250, 0.250, 0.250)

Summary:
DFT formation energy = -0.557 eV/f.u.
electronic total energy = -125.7 eV/cell

***

Record 2
The following is a DFT calculation (PBE) of a relaxed Al2Cd2Ag crystal.

Lattice parameters (Å, degrees): 6.940 6.940 4.243 90.00 90.00 90.00
Space group P4/mbm (No. 127)
Unique sites:
Al (0.138, 0.362, 0.000)
Cd (0.166, 0.666, 0.500)
Ag (0.000, 0.000, 0.000)

Summary:
DFT formation energy = 0.635 eV/f.u.
excess energy over the best structure of this formula in the dataset = 0 meV/atom
electronic total energy = -23.1 eV/cell

***

Record 3
The following is a DFT calculation (PBE) of a relaxed Zr3NiAg crystal.

Lattice parameters (Å, degrees): 4.857 4.857 4.857 90.00 90.00 90.00
Space group Pm-3m (No. 221)
Unique sites:
Zr (0.000, 0.000, 0.500)
Ni (0.000, 0.000, 0.000)
Ag (0.500, 0.500, 0.500)

Summary:
DFT formation energy = 1.530 eV/f.u.
excess energy over the best structure of this formula in the dataset = 0 meV/atom
electronic total energy = -32.7 eV/cell

***

Record 4
The following is a DFT calculation (PBE) of a relaxed HfTi2Tc crystal.

Lattice parameters (Å, degrees): 3.136 19.474 4.689 90.00 90.00 90.00
Space group Cmcm (No. 63)
Unique sites:
Hf (0.000, 0.117, 0.250)
Ti (0.000, 0.247, 0.750)
Ti (0.000, 0.472, 0.250)
Tc (0.000, 0.354, 0.250)

Summary:
DFT formation energy = -0.410 eV/f.u.
excess energy over the best structure of this formula in the dataset = 210 meV/atom
electronic total energy = -146.1 eV/cell

***

Record 5
The following is a DFT calculation (PBE) of a relaxed Sr2Mg crystal.

Lattice parameters (Å, degrees): 4.169 19.564 6.287 90.00 90.00 90.00
Space group Cmcm (No. 63)
Unique sites:
Sr (0.000, 0.082, 0.250)
Sr (0.000, 0.217, 0.750)
Mg (0.000, 0.434, 0.250)

Summary:
DFT formation energy = -0.014 eV/f.u.
electronic total energy = -19.9 eV/cell

***

Record 6
The following is a DFT calculation (PBE) of a relaxed NbTcB3 crystal.

Lattice parameters (Å, degrees): 4.056 4.056 4.056 90.00 90.00 90.00
Space group Pm-3m (No. 221)
Unique sites:
Nb (0.000, 0.000, 0.000)
Tc (0.500, 0.500, 0.500)
B (0.000, 0.000, 0.500)

Summary:
DFT formation energy = 8.750 eV/f.u.
excess energy over the best structure of this formula in the dataset = 2334 meV/atom
electronic total energy = -31.7 eV/cell

***

Record 7
The following is a DFT calculation (PBE) of a relaxed InAgAs2Br crystal.

Lattice parameters (Å, degrees): 5.276 5.276 5.075 90.00 90.00 90.00
Space group P4/mmm (No. 123)
Unique sites:
In (0.000, 0.000, 0.000)
Ag (0.500, 0.500, 0.000)
As (0.000, 0.500, 0.500)
Br (0.500, 0.500, 0.500)

Summary:
formation energy (no corrections) = 0.819 eV/atom
excess energy over the best structure of this formula in the dataset = 125 meV/atom
electronic total energy = -12.5 eV/cell

***

Record 8
The following is a DFT calculation (PBE) of a relaxed Pr2TlCl crystal.

Lattice parameters (Å, degrees): 4.4397 4.4397 20.8368 90.00 90.00 120.00
Space group R-3m (No. 166, hexagonal axes)
Unique sites:
Pr (0.0000, 0.0000, 0.2440)
Tl (0.0000, 0.0000, 0.0000)
Cl (0.0000, 0.0000, 0.5000)

Summary:
formation energy (no corrections) = -0.852 eV/atom
excess energy over the best structure of this formula in the dataset = 9 meV/atom
electronic total energy = -51.5 eV/cell